NbWI2O: relaxed, GGA+U.

The structure in POSCAR format:
```
NbWI2O
1.0
-4.2009 4.0738 0.4971
-3.9343 -3.7950 -2.1472
-0.7781 -1.2449 3.6260
W I Nb O
1 2 1 1
Cartesian
-4.4567 -0.4830 0.9880 W
-2.1005 2.0369 0.2485 I
-1.9671 -1.8975 -1.0736 I
0.0000 0.0000 0.0000 Nb
-0.3891 -0.6224 1.8130 O
```

- E_tot (eV/atom) = -4.99
- magnetization (Bohr magnetons per cell) = 6.6
- crystal system = tetragonal
- space-group type = P4/mmm